Record 1
Entry from Alexandria: an optimized crystal structure of Er5Tl3 (GGA-PBEsol).

E (eV per atom): -4.4025
Formation energy (meV/atom): -337
DOS at the Fermi energy (states/eV/f.u.): 6.03
Excess energy over the best structure of this formula in the dataset (eV/atom): 0.017

Structure (POSCAR):
```
Er5Tl3
1.0
-3.9493 3.9493 6.8930
3.9493 -3.9493 6.8930
3.9493 3.9493 -6.8930
Er Tl
10 6
Direct
0.0000 0.0000 0.0000 Er
0.0062 0.5062 0.8178 Er
0.1884 0.0062 0.5000 Er
0.3116 0.8116 0.8178 Er
0.4938 0.3116 0.5000 Er
0.5000 0.5000 0.0000 Er
0.5062 0.6884 0.5000 Er
0.6884 0.1884 0.1822 Er
0.8116 0.9938 0.5000 Er
0.9938 0.4938 0.1822 Er
0.1366 0.3634 0.5000 Tl
0.2500 0.2500 0.0000 Tl
0.3634 0.8634 0.2267 Tl
0.6366 0.1366 0.7733 Tl
0.7500 0.7500 0.0000 Tl
0.8634 0.6366 0.5000 Tl
```

***

Record 2
Entry from Alexandria: an optimized crystal structure of ErTl3 (GGA-PBEsol).

E (eV per atom): -3.4673
Formation energy (meV/atom): -263
DOS at the Fermi energy (states/eV/f.u.): 2.17

Structure (POSCAR):
```
ErTl3
1.0
4.6409 0.0000 0.0000
0.0000 4.6409 0.0000
0.0000 0.0000 4.6409
Er Tl
1 3
Direct
0.0000 0.0000 0.0000 Er
0.0000 0.5000 0.5000 Tl
0.5000 0.0000 0.5000 Tl
0.5000 0.5000 0.0000 Tl
```

***

Record 3
Entry from Alexandria: an optimized crystal structure of Er5Tl3 (GGA-PBEsol).

E (eV per atom): -4.4195
Formation energy (meV/atom): -354
DOS at the Fermi energy (states/eV/f.u.): 10.64
Excess energy over the best structure of this formula in the dataset (eV/atom): 0.000

Structure (POSCAR):
```
Er5Tl3
1.0
8.8125 0.0000 0.0000
-4.4062 7.6318 0.0000
0.0000 0.0000 6.4190
Er Tl
10 6
Direct
0.0000 0.2345 0.2500 Er
0.0000 0.7655 0.7500 Er
0.2345 0.0000 0.2500 Er
0.2345 0.2345 0.7500 Er
0.3333 0.6667 0.0000 Er
0.3333 0.6667 0.5000 Er
0.6667 0.3333 0.0000 Er
0.6667 0.3333 0.5000 Er
0.7655 0.0000 0.7500 Er
0.7655 0.7655 0.2500 Er
0.0000 0.4022 0.7500 Tl
0.0000 0.5978 0.2500 Tl
0.4022 0.0000 0.7500 Tl
0.4022 0.4022 0.2500 Tl
0.5978 0.0000 0.2500 Tl
0.5978 0.5978 0.7500 Tl
```

***

Which value of E does entry 1 give? -4.4025 eV per atom